(1)
Here is a geometry-optimized La2NiMo structure from the Alexandria database. Energies are from PBE.

Cell: 4.594 4.594 9.636 Å, 76.21 76.21 90.00°
Each line ends with the local moment (μB).
Positions (direct):
1 Mo 0.750 0.250 0.500  0.39
2 La 0.133 0.625 0.250  -0.02
3 Mo 0.000 0.000 0.000  0.40
4 Ni 0.250 0.750 0.500  0.00
5 La 0.875 0.867 0.750  -0.02
6 La 0.617 0.125 0.250  -0.02
7 Ni 0.500 0.500 0.000  0.00
8 La 0.375 0.383 0.750  -0.02

---

(2)
Here is a geometry-optimized LaNi2Mo2 structure from the Alexandria database. Energies are from PBE.

Cell: 4.288 4.288 5.856 Å, 68.52 68.52 90.00°
Positions (direct):
1 Ni 0.750 0.250 0.500
2 Mo 0.375 0.375 0.249
3 Mo 0.625 0.625 0.751
4 La 0.000 0.000 0.000
5 Ni 0.250 0.750 0.500

---

Number 1: calculated total energy -5.798 eV per atom, N(E_F) 3.353 states/eV/f.u.. Number 2: calculated total energy -7.337 eV per atom, N(E_F) 6.846 states/eV/f.u..